Entry 1:
Computed, not measured: crystalline BeRe2Au at its relaxed geometry at the PBE level of DFT.

a b c (Å): 5.157 5.157 2.681
angles (deg): 81.49 81.49 119.91
Sites, in units of the cell vectors:
Re 0.500 0.500 0.000
Au 0.500 0.000 0.500
Be 0.000 0.500 0.500
Re 0.000 0.000 0.000

Space group: C2/m
DOS at the Fermi energy, states/eV/f.u.: 2.12
Total DFT energy (no corrections), eV/cell: -29.86
Total moment, Bohr magnetons per cell: 0.0

***

Entry 2:
Computed, not measured: crystalline MgP2Ru at its relaxed geometry at the PBE level of DFT.

a b c (Å): 4.403 3.380 4.541
angles (deg): 68.15 90.00 90.00
Sites, in units of the cell vectors:
P 0.000 0.028 0.068
P 0.500 0.437 0.250
Ru 0.000 0.317 0.491
Mg 0.500 0.717 0.690

Space group: Amm2
DOS at the Fermi energy, states/eV/f.u.: 2.17
Total DFT energy (no corrections), eV/cell: -22.44
Total moment, Bohr magnetons per cell: 0.0

***

Entry 3:
Computed, not measured: crystalline SrNdHf4O12 at its relaxed geometry at the PBE level of DFT.

a b c (Å): 5.759 5.759 8.227
angles (deg): 90.00 90.00 90.06
Sites, in units of the cell vectors:
Hf 0.987 0.487 0.749
O 0.282 0.718 0.244
O 0.282 0.718 0.756
Hf 0.513 0.013 0.251
O 0.061 0.506 0.500
O 0.211 0.209 0.762
O 0.979 0.472 0.000
Sr 0.037 0.963 0.000
O 0.791 0.789 0.762
Hf 0.513 0.013 0.749
O 0.691 0.309 0.305
O 0.691 0.309 0.695
O 0.791 0.789 0.238
Hf 0.987 0.487 0.251
O 0.528 0.021 0.000
Nd 0.465 0.535 0.500
O 0.494 0.939 0.500
O 0.211 0.209 0.238

Space group: Amm2
DOS at the Fermi energy, states/eV/f.u.: 7.09
Uncorrected formation energy, eV per atom: -2.973
Total DFT energy (no corrections), eV/cell: -159.27
Total moment, Bohr magnetons per cell: 3.0